Here is a relaxed structure of Nd2Zn7Ni from Alexandria. Energies are from GGA-PBE.

E_form: -0.2833 eV/atom
ρ: 7.14 g/cm3

extended XYZ file:
```
10
Lattice="4.249 0.000 0.000 0.000 4.249 0.000 0.000 0.000 10.369" Properties=species:S:1:pos:R:3 pbc="T T T"
Nd 0.000 2.124 2.491
Nd 2.124 0.000 7.878
Zn 0.000 0.000 0.000
Zn 0.000 0.000 5.184
Zn 0.000 2.124 6.600
Zn 0.000 2.124 9.088
Zn 2.124 0.000 1.281
Zn 2.124 0.000 3.769
Zn 2.124 2.124 5.184
Ni 2.124 2.124 0.000
```

Here is a relaxed structure of KPaTl2S4 from Alexandria. Energies are from GGA-PBE.

ρ: 5.73 g/cm3
Raw formation energy: -1.10 eV/atom

extended XYZ file:
```
8
Lattice="7.586 0.000 0.000 0.000 4.191 0.000 -2.461 0.000 7.359" Properties=species:S:1:pos:R:3 pbc="T T T"
K 0.000 0.000 0.000
Pa 3.793 2.096 0.000
Tl -1.230 2.096 3.679
Tl 2.563 0.000 3.679
S 1.737 2.096 1.509
S 0.305 0.000 5.886
S 4.820 0.000 1.472
S 3.388 2.096 5.850
```

Here is a relaxed structure of DyFeRu from Alexandria. Energies are from GGA-PBE.

E_form: -0.2324 eV/atom
ρ: 10.36 g/cm3

extended XYZ file:
```
6
Lattice="-2.576 2.689 3.696 2.576 -2.689 3.696 2.576 2.689 -3.696" Properties=species:S:1:pos:R:3 pbc="T T T"
Dy 0.000 1.345 0.927
Dy 2.576 1.345 2.769
Fe 1.288 1.345 -1.848
Fe 1.288 -1.345 1.848
Ru 2.576 0.000 0.000
Ru 0.000 0.000 3.696
```

Here is a relaxed structure of Rb2PuCuO4 from Alexandria. Energies are from GGA-PBE.

ρ: 5.92 g/cm3
Raw formation energy: -1.82 eV/atom

extended XYZ file:
```
8
Lattice="5.947 0.000 0.000 0.000 3.808 0.000 -0.063 0.000 6.723" Properties=species:S:1:pos:R:3 pbc="T T T"
Rb 0.000 0.000 0.000
Rb 2.974 1.904 0.000
Pu -0.032 1.904 3.361
Cu 2.942 0.000 3.361
O 0.869 1.904 1.675
O 1.262 0.000 4.133
O 4.622 0.000 2.590
O 5.015 1.904 5.048
```

Here is a relaxed structure of Tl3Cd2In8 from Alexandria. Energies are from GGA-PBE.

E_form: 0.0752 eV/atom
ρ: 7.72 g/cm3

extended XYZ file:
```
13
Lattice="3.867 -9.854 0.000 3.867 9.854 0.000 0.000 0.000 4.959" Properties=species:S:1:pos:R:3 pbc="T T T"
Tl 0.000 0.000 0.000
Tl 2.292 0.000 2.479
Tl 5.442 0.000 2.479
Cd 3.867 5.267 0.000
Cd 3.867 -5.267 0.000
In 3.867 7.097 2.479
In 2.234 2.366 0.000
In 3.867 3.516 2.479
In 2.234 -2.366 0.000
In 5.499 2.366 0.000
In 3.867 -3.516 2.479
In 5.499 -2.366 0.000
In 3.867 -7.097 2.479
```

Here is a relaxed structure of MgNiMo from Alexandria. Energies are from GGA-PBE.

Distance to the lowest polymorph of the same formula: 603.1 kJ/mol of formula units
E_form: 2.0931 eV/atom
ρ: 3.29 g/cm3

extended XYZ file:
```
6
Lattice="4.850 0.000 0.000 -2.425 4.200 0.000 0.000 0.000 8.874" Properties=species:S:1:pos:R:3 pbc="T T T"
Mg 0.000 2.800 2.218
Mg 2.425 1.400 6.655
Ni 0.000 0.000 0.000
Ni 0.000 0.000 4.437
Mo 0.000 0.000 2.218
Mo 0.000 0.000 6.655
```

Here is a relaxed structure of Mg2ZnTe from Alexandria. Energies are from GGA-PBE.

Distance to the lowest polymorph of the same formula: 3.6 kJ/mol of formula units
ρ: 4.20 g/cm3
Raw formation energy: -0.23 eV/atom

extended XYZ file:
```
4
Lattice="-1.933 2.030 6.090 1.933 -2.030 6.090 1.933 2.030 -6.090" Properties=species:S:1:pos:R:3 pbc="T T T"
Mg 0.000 0.000 0.000
Mg 0.000 2.030 3.338
Zn 0.000 0.000 5.424
Te 1.933 0.000 2.308
```

Here is a relaxed structure of Na2CdIrF8 from Alexandria. Energies are from GGA-PBE.

ρ: 4.63 g/cm3
Raw formation energy: -2.11 eV/atom

extended XYZ file:
```
12
Lattice="4.793 0.000 0.000 0.000 7.107 0.000 -0.178 0.000 5.288" Properties=species:S:1:pos:R:3 pbc="T T T"
Na 0.000 1.746 0.000
Na 0.000 5.361 0.000
Cd 2.308 0.000 2.644
Ir 2.308 3.554 2.644
F 0.914 0.000 1.080
F 1.048 3.554 1.163
F 1.350 2.062 3.537
F 1.350 5.045 3.537
F 3.265 2.062 1.751
F 3.265 5.045 1.751
F 3.568 3.554 4.125
F 3.701 0.000 4.208
```

Here is a relaxed structure of BaAc2Dy from Alexandria. Energies are from GGA-PBE.

Distance to the lowest polymorph of the same formula: 0.0 kJ/mol of formula units
E_form: 0.0784 eV/atom
ρ: 7.07 g/cm3

extended XYZ file:
```
4
Lattice="3.982 0.000 0.000 0.000 3.982 0.000 0.000 0.000 11.170" Properties=species:S:1:pos:R:3 pbc="T T T"
Ba 0.000 0.000 0.000
Ac 1.991 1.991 3.163
Ac 1.991 1.991 8.007
Dy 0.000 0.000 5.585
```

Here is a relaxed structure of AcThCdGa from Alexandria. Energies are from GGA-PBE.

E_form: -0.2262 eV/atom
ρ: 9.12 g/cm3

extended XYZ file:
```
4
Lattice="0.000 3.880 3.880 3.880 0.000 3.880 3.880 3.880 0.000" Properties=species:S:1:pos:R:3 pbc="T T T"
Ac 0.000 0.000 0.000
Th 3.880 3.880 3.880
Cd 5.819 5.819 5.819
Ga 1.940 1.940 1.940
```

Here is a relaxed structure of HfCu2Rh2 from Alexandria. Energies are from GGA-PBE.

Distance to the lowest polymorph of the same formula: 38.0 kJ/mol of formula units
E_form: -0.2021 eV/atom
ρ: 11.29 g/cm3

extended XYZ file:
```
10
Lattice="6.986 0.000 0.000 0.000 6.986 0.000 0.000 0.000 3.083" Properties=species:S:1:pos:R:3 pbc="T T T"
Hf 0.000 0.000 0.000
Hf 3.493 3.493 0.000
Cu 1.107 2.385 1.542
Cu 2.385 5.878 1.542
Cu 4.600 1.107 1.542
Cu 5.878 4.600 1.542
Rh 0.971 4.464 0.000
Rh 2.522 0.971 0.000
Rh 4.464 6.014 0.000
Rh 6.014 2.522 0.000
```

Here is a relaxed structure of TbZrPd from Alexandria. Energies are from GGA-PBE.

Distance to the lowest polymorph of the same formula: 0.0 kJ/mol of formula units
E_form: -0.4585 eV/atom
ρ: 8.47 g/cm3

extended XYZ file:
```
6
Lattice="-2.165 2.165 7.454 2.165 -2.165 7.454 2.165 2.165 -7.454" Properties=species:S:1:pos:R:3 pbc="T T T"
Tb 0.000 0.000 2.666
Tb 0.000 0.000 12.242
Zr 2.165 0.000 0.000
Zr 0.000 2.165 0.000
Pd 0.000 0.000 5.474
Pd 0.000 0.000 9.434
```

Here is a relaxed structure of KNi from Alexandria. Energies are from GGA-PBE.

Distance to the lowest polymorph of the same formula: 172.1 kJ/mol of formula units
E_form: 1.4047 eV/atom
ρ: 1.47 g/cm3

extended XYZ file:
```
2
Lattice="0.000 3.805 3.805 3.805 0.000 3.805 3.805 3.805 0.000" Properties=species:S:1:pos:R:3 pbc="T T T"
K 0.000 0.000 0.000
Ni 5.708 5.708 5.708
```